Entry from the Alexandria database: Tm3Zn3Hg2 after structural relaxation (PBE).

## Properties
The energy of formation is -277.1 meV/atom. The volume is 22.655 Å³ per atom.

The structure in POSCAR format:
```
Tm3Zn3Hg2
1.0
7.026 0.000 0.000
-3.513 6.085 0.000
0.000 0.000 4.239
Tm Zn Hg
3 3 2
Cartesian
-1.329 2.301 0.000
2.657 0.000 0.000
2.185 3.784 0.000
-2.746 4.756 2.119
0.767 1.329 2.119
5.492 0.000 2.119
0.000 4.057 2.119
3.513 2.028 2.119
```

***

Entry from the Alexandria database: Tm6ZnHg2 after structural relaxation (PBE).

## Properties
The energy of formation is -77.6 meV/atom. The volume is 29.097 Å³ per atom.

The structure in POSCAR format:
```
Tm6ZnHg2
1.0
-2.485 3.522 7.479
2.485 -3.522 7.479
2.485 3.522 -7.479
Tm Zn Hg
6 1 2
Cartesian
2.485 1.738 -2.455
0.000 1.722 0.000
2.485 1.738 2.455
0.000 1.785 5.023
0.000 5.322 0.000
0.000 1.785 9.934
2.485 0.000 0.000
2.485 0.000 4.985
0.000 3.522 2.494
```

***

no.,M_tot (μB/atom)
1,0.00
2,0.00